No. 1
Computed, not measured: crystalline YAl2Co at its relaxed geometry at the PBE-GGA level of DFT.

a b c (Å): 5.6098 5.6098 5.6098
angles (deg): 42.97 42.97 42.97
Fractional coordinates of all 4 atoms:
Co (0.2500, 0.2500, 0.2500)
Al (0.5443, 0.5443, 0.5443)
Al (0.9557, 0.9557, 0.9557)
Y (0.7500, 0.7500, 0.7500)

Properties
E	-5.69	eV/atom

***

No. 2
Computed, not measured: crystalline SmGdHoSc at its relaxed geometry at the PBE-GGA level of DFT.

a b c (Å): 5.5612 5.5612 5.5612
angles (deg): 60.00 60.00 60.00
Each line ends with the local moment (μB).
Fractional coordinates of all 4 atoms:
Sm (0.7500, 0.7500, 0.7500)  -0.04
Sc (0.0000, 0.0000, 0.0000)  0.02
Ho (0.5000, 0.5000, 0.5000)  0.04
Gd (0.2500, 0.2500, 0.2500)  7.18

Properties
E	-7.32	eV/atom

***

No. 3
Computed, not measured: crystalline CuSiHg at its relaxed geometry at the PBE-GGA level of DFT.

a b c (Å): 3.1108 3.1108 6.1535
angles (deg): 90.00 90.00 120.00
Fractional coordinates of all 3 atoms:
Si (0.3333, 0.6667, 0.7059)
Hg (0.6667, 0.3333, 0.3241)
Cu (0.0000, 0.0000, 0.9700)

Properties
E_form (uncorrected)	0.96	eV/f.u.

***

No. 4
Computed, not measured: crystalline CrIn2C2 at its relaxed geometry at the PBE-GGA level of DFT.

a b c (Å): 4.0163 4.0163 5.6726
angles (deg): 69.27 69.27 90.00
Each line ends with the local moment (μB).
Fractional coordinates of all 5 atoms:
In (0.2500, 0.7500, 0.5000)  0.01
In (0.7500, 0.2500, 0.5000)  0.01
C (0.4334, 0.4334, 0.1333)  0.03
C (0.5666, 0.5666, 0.8667)  0.03
Cr (0.0000, 0.0000, 0.0000)  -0.42

Properties
E	-5.11	eV/atom

***

No. 5
Computed, not measured: crystalline PaV2Se4S2 at its relaxed geometry at the PBE-GGA level of DFT.

a b c (Å): 3.5083 3.5083 20.7941
angles (deg): 90.00 90.00 120.00
Each line ends with the local moment (μB).
Fractional coordinates of all 9 atoms:
Se (0.6667, 0.3333, 0.0559)  -0.09
Se (0.6667, 0.3333, 0.9058)  -0.09
Se (0.0000, 0.0000, 0.7302)  -0.09
Se (0.0000, 0.0000, 0.5800)  -0.09
V (0.6667, 0.3333, 0.6551)  1.07
V (0.0000, 0.0000, 0.9808)  1.06
Pa (0.0000, 0.0000, 0.3231)  0.60
S (0.6667, 0.3333, 0.2394)  -0.02
S (0.6667, 0.3333, 0.4068)  -0.02

Properties
E_form (uncorrected)	-7.72	eV/f.u.

***

No. 6
Computed, not measured: crystalline AlIn3Ir at its relaxed geometry at the PBE-GGA level of DFT.

a b c (Å): 5.0964 5.0964 5.0964
angles (deg): 90.00 90.00 90.00
Fractional coordinates of all 5 atoms:
Al (0.0000, 0.0000, 0.0000)
In (0.0000, 0.0000, 0.5000)
In (0.0000, 0.5000, 0.0000)
In (0.5000, 0.0000, 0.0000)
Ir (0.5000, 0.5000, 0.5000)

Properties
E	-3.09	eV/atom